Computed, not measured: a relaxed RbZnPbCl5 crystal at the GGA-PBE level of DFT.

## Properties
space-group type	C2/c, No. 15
formation energy (no corrections)	-1.3751	eV per atom

Cell: 7.7837 7.7837 10.2082 Å, 104.14 104.14 106.39°
Fractional coordinates of all 16 atoms:
Rb (0.1497, 0.8503, 0.7500)
Rb (0.8503, 0.1497, 0.2500)
Zn (0.1861, 0.8139, 0.2500)
Zn (0.8139, 0.1861, 0.7500)
Pb (0.5000, 0.5000, 0.0000)
Pb (0.5000, 0.5000, 0.5000)
Cl (0.0975, 0.2461, 0.9250)
Cl (0.1705, 0.5949, 0.3667)
Cl (0.2461, 0.0975, 0.4250)
Cl (0.4051, 0.8295, 0.1333)
Cl (0.4058, 0.5942, 0.7500)
Cl (0.5942, 0.4058, 0.2500)
Cl (0.5949, 0.1705, 0.8667)
Cl (0.7539, 0.9025, 0.5750)
Cl (0.8295, 0.4051, 0.6333)
Cl (0.9025, 0.7539, 0.0750)